(1)
A plane-wave DFT calculation with PBE-GGA was carried out for AcNdAl after structural relaxation.

Unit cell a=5.2998 b=5.2998 c=3.9651 alpha=90.00 beta=90.00 gamma=120.00
Space group P3m1 (No. 156)
Symmetry-distinct sites (fractional):
Ac 0.0000 0.0000 0.0000 (multiplicity 1)
Nd 0.3333 0.6667 0.4279 (multiplicity 1)
Al 0.6667 0.3333 0.6302 (multiplicity 1)

Summary:
Density of states at the Fermi level = 0.79 states/eV/atom
M_tot = 0.0 μB/f.u.
Energy above the most stable polymorph in this dataset = 0.072 eV/atom
DFT formation energy = -72 meV/atom

***

(2)
A plane-wave DFT calculation with PBE-GGA was carried out for KAc2Sb after structural relaxation.

Unit cell a=4.4248 b=4.4248 c=37.9014 alpha=90.00 beta=90.00 gamma=120.00
Space group R-3m (No. 166, hexagonal axes)
Symmetry-distinct sites (fractional):
K 0.0000 0.0000 0.0000 (multiplicity 3)
Ac 0.0000 0.0000 0.1131 (multiplicity 6)
Sb 0.0000 0.0000 0.5000 (multiplicity 3)

Summary:
Density of states at the Fermi level = 1.11 states/eV/atom
Raw formation energy = -0.32 eV per atom
M_tot = 0.0 μB/f.u.
Energy above the most stable polymorph in this dataset = 0.000 eV/atom

***

(3)
A plane-wave DFT calculation with PBE-GGA was carried out for CeSmP2 after structural relaxation.

Unit cell a=4.0811 b=4.0811 c=13.4118 alpha=90.00 beta=90.00 gamma=120.00
Space group P6_3/mmc (No. 194)
Symmetry-distinct sites (fractional):
Ce 0.0000 0.0000 0.0000 (multiplicity 2)
Sm 0.3333 0.6667 0.2500 (multiplicity 2)
P 0.3333 0.6667 0.6212 (multiplicity 4)

Summary:
Density of states at the Fermi level = 1.09 states/eV/atom
M_tot = 0.4 μB/f.u.
Energy above the most stable polymorph in this dataset = 0.043 eV/atom
DFT formation energy = -1501 meV/atom

***

(4)
A plane-wave DFT calculation with PBE-GGA was carried out for Pr3Ge3Pt after structural relaxation.

Unit cell a=11.038 b=4.474 c=14.589 alpha=90.00 beta=110.63 gamma=90.00
Space group C2/m (No. 12)
Symmetry-distinct sites (fractional):
Pr 0.038 0.000 0.381 (multiplicity 4)
Pr 0.101 0.000 0.924 (multiplicity 4)
Pr 0.248 0.000 0.230 (multiplicity 4)
Ge 0.040 0.500 0.230 (multiplicity 4)
Ge 0.116 0.500 0.075 (multiplicity 4)
Ge 0.140 0.500 0.537 (multiplicity 4)
Pt 0.246 0.000 0.612 (multiplicity 4)

Summary:
Density of states at the Fermi level = 0.86 states/eV/atom
M_tot = 0.0 μB/f.u.
DFT formation energy = -925 meV/atom

***

(5)
A plane-wave DFT calculation with PBE-GGA was carried out for VAsP2S after structural relaxation.

Unit cell a=4.601 b=4.601 c=4.677 alpha=90.00 beta=90.00 gamma=90.00
Space group P4/mmm (No. 123)
Symmetry-distinct sites (fractional):
V 0.000 0.000 0.000 (multiplicity 1)
As 0.500 0.500 0.500 (multiplicity 1)
P 0.000 0.500 0.500 (multiplicity 2)
S 0.500 0.500 0.000 (multiplicity 1)

Summary:
Density of states at the Fermi level = 0.78 states/eV/atom
Raw formation energy = 1.12 eV per atom
M_tot = 0.1 μB/f.u.
Energy above the most stable polymorph in this dataset = 0.690 eV/atom

***

(6)
A plane-wave DFT calculation with PBE-GGA was carried out for PmPrCdAu after structural relaxation.

Unit cell a=3.786 b=3.786 c=7.566 alpha=90.00 beta=90.00 gamma=90.00
Space group P4mm (No. 99)
Symmetry-distinct sites (fractional):
Pm 0.000 0.000 0.000 (multiplicity 1)
Pr 0.000 0.000 0.527 (multiplicity 1)
Cd 0.500 0.500 0.259 (multiplicity 1)
Au 0.500 0.500 0.776 (multiplicity 1)

Summary:
Density of states at the Fermi level = 0.94 states/eV/atom
M_tot = 0.0 μB/f.u.
Energy above the most stable polymorph in this dataset = 0.000 eV/atom
DFT formation energy = -540 meV/atom

***

- Which value of density of states at the Fermi level does entry 5 give?
  0.78 states/eV/atom